(1)
! Ho3Te2, optimized geometry, DFT PBE; values from VASP
&SYSTEM
  ibrav = 0, nat = 20, ntyp = 2
/
ATOMIC_SPECIES
Ho 164.93 Ho.upf
Te 127.60 Te.upf
CELL_PARAMETERS angstrom
11.8178 0.0000 0.0000
0.0000 4.0821 0.0000
0.0000 0.0000 11.6167
ATOMIC_POSITIONS crystal
Ho 0.0449 0.2500 0.1237
Ho 0.1226 0.7500 0.5667
Ho 0.2089 0.2500 0.7924
Ho 0.2911 0.7500 0.2924
Ho 0.3774 0.2500 0.0667
Ho 0.4551 0.7500 0.6237
Ho 0.5449 0.2500 0.3763
Ho 0.6226 0.7500 0.9333
Ho 0.7089 0.2500 0.7076
Ho 0.7911 0.7500 0.2076
Ho 0.8774 0.2500 0.4333
Ho 0.9551 0.7500 0.8763
Te 0.0334 0.7500 0.3204
Te 0.1946 0.7500 0.9968
Te 0.3054 0.2500 0.4968
Te 0.4666 0.2500 0.8204
Te 0.5334 0.7500 0.1796
Te 0.6946 0.7500 0.5032
Te 0.8054 0.2500 0.0032
Te 0.9666 0.2500 0.6796
! volume: 560.4 Å³ per cell
! space group: Pnma, No. 62
! crystal system: orthorhombic
! total energy: -5.034 eV/atom

(2)
! CsIr2, optimized geometry, DFT PBE; values from VASP
&SYSTEM
  ibrav = 0, nat = 6, ntyp = 2
/
ATOMIC_SPECIES
Cs 132.91 Cs.upf
Ir 192.22 Ir.upf
CELL_PARAMETERS angstrom
0.0000 5.8631 5.8631
5.8631 0.0000 5.8631
5.8631 5.8631 0.0000
ATOMIC_POSITIONS crystal
Cs 0.1250 0.1250 0.1250
Cs 0.8750 0.8750 0.8750
Ir 0.0000 0.0000 0.0000
Ir 0.0000 0.0000 0.5000
Ir 0.0000 0.5000 0.0000
Ir 0.5000 0.0000 0.0000
! volume: 403.1 Å³ per cell
! excess energy over the best structure of this formula in the dataset: 3089 meV/atom
! space group: Fd-3m, No. 227
! crystal system: cubic
! total energy: -2.114 eV/atom

(3)
! SiGe3Pt4, optimized geometry, DFT PBE; values from VASP
&SYSTEM
  ibrav = 0, nat = 8, ntyp = 3
/
ATOMIC_SPECIES
Si 28.09 Si.upf
Ge 72.64 Ge.upf
Pt 195.08 Pt.upf
CELL_PARAMETERS angstrom
5.8001 0.0000 0.0000
0.0000 3.7071 0.0000
-0.0188 0.0000 6.1312
ATOMIC_POSITIONS crystal
Si 0.0000 0.0000 0.0000
Ge 0.1303 0.5000 0.4974
Ge 0.5011 0.0000 0.6730
Ge 0.6276 0.5000 0.1710
Pt 0.3060 0.0000 0.2686
Pt 0.3071 0.5000 0.8956
Pt 0.8152 0.0000 0.3891
Pt 0.8232 0.5000 0.7894
! volume: 131.8 Å³ per cell
! space group: Pm, No. 6
! crystal system: monoclinic
! total energy: -5.960 eV/atom

(4)
! AgIrF6, optimized geometry, DFT PBE; values from VASP
&SYSTEM
  ibrav = 0, nat = 16, ntyp = 3
/
ATOMIC_SPECIES
Ag 107.87 Ag.upf
Ir 192.22 Ir.upf
F 19.00 F.upf
CELL_PARAMETERS angstrom
6.8039 0.0000 0.0000
0.0000 6.3686 0.0000
-1.5722 0.0000 4.6300
ATOMIC_POSITIONS crystal
Ag 0.0000 0.0000 0.0000
Ag 0.5000 0.5000 0.0000
Ir 0.0000 0.5000 0.5000
Ir 0.5000 0.0000 0.5000
F 0.0916 0.2947 0.7990
F 0.0916 0.7053 0.7990
F 0.2221 0.0000 0.5151
F 0.2779 0.5000 0.4849
F 0.4084 0.2053 0.2010
F 0.4084 0.7947 0.2010
F 0.5916 0.2053 0.7990
F 0.5916 0.7947 0.7990
F 0.7221 0.5000 0.5151
F 0.7779 0.0000 0.4849
F 0.9084 0.2947 0.2010
F 0.9084 0.7053 0.2010
! volume: 200.6 Å³ per cell
! excess energy over the best structure of this formula in the dataset: 23 meV/atom
! space group: C2/m, No. 12
! crystal system: monoclinic
! total energy: -4.203 eV/atom

(5)
! PrNd2Ge4Pd2Au2, optimized geometry, DFT PBE; values from VASP
&SYSTEM
  ibrav = 0, nat = 11, ntyp = 5
/
ATOMIC_SPECIES
Pr 140.91 Pr.upf
Nd 144.24 Nd.upf
Ge 72.64 Ge.upf
Pd 106.42 Pd.upf
Au 196.97 Au.upf
CELL_PARAMETERS angstrom
-2.1299 2.1907 12.7364
2.1299 -2.1907 12.7364
2.1299 2.1907 -12.7364
ATOMIC_POSITIONS crystal
Pr 0.0000 0.0000 0.0000
Nd 0.3498 0.8498 0.5000
Nd 0.6502 0.1502 0.5000
Ge 0.1975 0.6975 0.5000
Ge 0.4508 0.4508 0.0000
Ge 0.5492 0.5492 0.0000
Ge 0.8025 0.3025 0.5000
Pd 0.2500 0.2500 0.0000
Pd 0.7500 0.7500 0.0000
Au 0.0980 0.5980 0.5000
Au 0.9020 0.4020 0.5000
! volume: 237.7 Å³ per cell
! space group: Immm, No. 71
! crystal system: orthorhombic
! total energy: -5.329 eV/atom

(6)
! BeCdOsW, optimized geometry, DFT PBE; values from VASP
&SYSTEM
  ibrav = 0, nat = 16, ntyp = 4
/
ATOMIC_SPECIES
Be 9.01 Be.upf
Cd 112.41 Cd.upf
Os 190.23 Os.upf
W 183.84 W.upf
CELL_PARAMETERS angstrom
6.1924 0.0000 0.0000
0.0000 6.1924 0.0000
0.0000 0.0000 6.1924
ATOMIC_POSITIONS crystal
Be 0.0000 0.0000 0.0000
Be 0.0000 0.5000 0.5000
Be 0.5000 0.0000 0.5000
Be 0.5000 0.5000 0.0000
Cd 0.2500 0.2500 0.7500
Cd 0.2500 0.7500 0.2500
Cd 0.7500 0.2500 0.2500
Cd 0.7500 0.7500 0.7500
Os 0.0000 0.0000 0.5000
Os 0.0000 0.5000 0.0000
Os 0.5000 0.0000 0.0000
Os 0.5000 0.5000 0.5000
W 0.2500 0.2500 0.2500
W 0.2500 0.7500 0.7500
W 0.7500 0.2500 0.7500
W 0.7500 0.7500 0.2500
! volume: 237.4 Å³ per cell
! excess energy over the best structure of this formula in the dataset: 0 meV/atom
! space group: F-43m, No. 216
! crystal system: cubic
! total energy: -6.787 eV/atom

(7)
! SmMgCuTeS2, optimized geometry, DFT PBE; values from VASP
&SYSTEM
  ibrav = 0, nat = 12, ntyp = 5
/
ATOMIC_SPECIES
Sm 150.36 Sm.upf
Mg 24.30 Mg.upf
Cu 63.55 Cu.upf
Te 127.60 Te.upf
S 32.06 S.upf
CELL_PARAMETERS angstrom
1.9218 -6.6049 0.0000
1.9218 6.6049 0.0000
0.0000 0.0000 10.9993
ATOMIC_POSITIONS crystal
Sm 0.0000 0.0000 0.0000
Sm 0.0000 0.0000 0.5000
Mg 0.1969 0.8031 0.7500
Mg 0.8031 0.1969 0.2500
Cu 0.4829 0.5171 0.2500
Cu 0.5171 0.4829 0.7500
Te 0.1203 0.8797 0.2500
Te 0.8797 0.1203 0.7500
S 0.3668 0.6332 0.0921
S 0.3668 0.6332 0.4080
S 0.6332 0.3668 0.5920
S 0.6332 0.3668 0.9080
! volume: 279.2 Å³ per cell
! space group: Cmcm, No. 63
! crystal system: orthorhombic
! total energy: -4.683 eV/atom

(8)
! ZnN, optimized geometry, DFT PBE; values from VASP
&SYSTEM
  ibrav = 0, nat = 2, ntyp = 2
/
ATOMIC_SPECIES
Zn 65.41 Zn.upf
N 14.01 N.upf
CELL_PARAMETERS angstrom
3.0752 0.0000 0.0000
-1.5376 2.6632 0.0000
0.0000 0.0000 2.5549
ATOMIC_POSITIONS crystal
Zn 0.0000 0.0000 0.0000
N 0.3333 0.6667 0.5000
! volume: 20.9 Å³ per cell
! excess energy over the best structure of this formula in the dataset: 224 meV/atom
! space group: P-6m2, No. 187
! crystal system: hexagonal
! total energy: -3.953 eV/atom

(9)
! GdBeHg, optimized geometry, DFT PBE; values from VASP
&SYSTEM
  ibrav = 0, nat = 12, ntyp = 3
/
ATOMIC_SPECIES
Gd 157.25 Gd.upf
Be 9.01 Be.upf
Hg 200.59 Hg.upf
CELL_PARAMETERS angstrom
6.6233 0.0000 0.0000
0.0000 6.6233 0.0000
0.0000 0.0000 6.6233
ATOMIC_POSITIONS crystal
Gd 0.0000 0.0000 0.0000
Gd 0.0000 0.5000 0.5000
Gd 0.5000 0.0000 0.5000
Gd 0.5000 0.5000 0.0000
Be 0.0000 0.0000 0.5000
Be 0.0000 0.5000 0.0000
Be 0.5000 0.0000 0.0000
Be 0.5000 0.5000 0.5000
Hg 0.2500 0.2500 0.7500
Hg 0.2500 0.7500 0.2500
Hg 0.7500 0.2500 0.2500
Hg 0.7500 0.7500 0.7500
! volume: 290.5 Å³ per cell
! space group: F-43m, No. 216
! crystal system: cubic
! total energy: -2.699 eV/atom

(10)
! KPt3S5, optimized geometry, DFT PBE; values from VASP
&SYSTEM
  ibrav = 0, nat = 9, ntyp = 3
/
ATOMIC_SPECIES
K 39.10 K.upf
Pt 195.08 Pt.upf
S 32.06 S.upf
CELL_PARAMETERS angstrom
6.1334 0.0000 0.0000
-3.0667 5.3117 0.0000
0.0000 0.0000 6.6700
ATOMIC_POSITIONS crystal
K 0.0000 0.0000 0.0000
Pt 0.0000 0.5000 0.5000
Pt 0.5000 0.0000 0.5000
Pt 0.5000 0.5000 0.5000
S 0.0000 0.0000 0.5000
S 0.3333 0.6667 0.2656
S 0.3333 0.6667 0.7344
S 0.6667 0.3333 0.2656
S 0.6667 0.3333 0.7344
! volume: 217.3 Å³ per cell
! space group: P6/mmm, No. 191
! crystal system: hexagonal
! total energy: -4.730 eV/atom

(11)
! RbPrN, optimized geometry, DFT PBE; values from VASP
&SYSTEM
  ibrav = 0, nat = 9, ntyp = 3
/
ATOMIC_SPECIES
Rb 85.47 Rb.upf
Pr 140.91 Pr.upf
N 14.01 N.upf
CELL_PARAMETERS angstrom
4.5048 0.0000 0.0000
-2.2524 3.9013 0.0000
0.0000 0.0000 17.2558
ATOMIC_POSITIONS crystal
Rb 0.0000 0.0000 0.0000
Rb 0.3333 0.6667 0.2137
Rb 0.3333 0.6667 0.7863
Pr 0.0000 0.0000 0.4145
Pr 0.0000 0.0000 0.5855
Pr 0.3333 0.6667 0.0000
N 0.6667 0.3333 0.0411
N 0.6667 0.3333 0.5000
N 0.6667 0.3333 0.9589
! volume: 303.3 Å³ per cell
! space group: P-6m2, No. 187
! crystal system: hexagonal
! total energy: -4.023 eV/atom

(12)
! RbMoPb, optimized geometry, DFT PBE; values from VASP
&SYSTEM
  ibrav = 0, nat = 12, ntyp = 3
/
ATOMIC_SPECIES
Rb 85.47 Rb.upf
Mo 95.94 Mo.upf
Pb 207.20 Pb.upf
CELL_PARAMETERS angstrom
7.7536 0.0000 0.0000
0.0000 7.7536 0.0000
0.0000 0.0000 7.7536
ATOMIC_POSITIONS crystal
Rb 0.0000 0.0000 0.0000
Rb 0.0000 0.5000 0.5000
Rb 0.5000 0.0000 0.5000
Rb 0.5000 0.5000 0.0000
Mo 0.2500 0.2500 0.7500
Mo 0.2500 0.7500 0.2500
Mo 0.7500 0.2500 0.2500
Mo 0.7500 0.7500 0.7500
Pb 0.2500 0.2500 0.2500
Pb 0.2500 0.7500 0.7500
Pb 0.7500 0.2500 0.7500
Pb 0.7500 0.7500 0.2500
! volume: 466.1 Å³ per cell
! excess energy over the best structure of this formula in the dataset: 573 meV/atom
! space group: F-43m, No. 216
! crystal system: cubic
! total energy: -3.289 eV/atom

Please write out number 12 again, unchanged.
! RbMoPb, optimized geometry, DFT PBE; values from VASP
&SYSTEM
  ibrav = 0, nat = 12, ntyp = 3
/
ATOMIC_SPECIES
Rb 85.47 Rb.upf
Mo 95.94 Mo.upf
Pb 207.20 Pb.upf
CELL_PARAMETERS angstrom
7.7536 0.0000 0.0000
0.0000 7.7536 0.0000
0.0000 0.0000 7.7536
ATOMIC_POSITIONS crystal
Rb 0.0000 0.0000 0.0000
Rb 0.0000 0.5000 0.5000
Rb 0.5000 0.0000 0.5000
Rb 0.5000 0.5000 0.0000
Mo 0.2500 0.2500 0.7500
Mo 0.2500 0.7500 0.2500
Mo 0.7500 0.2500 0.2500
Mo 0.7500 0.7500 0.7500
Pb 0.2500 0.2500 0.2500
Pb 0.2500 0.7500 0.7500
Pb 0.7500 0.2500 0.7500
Pb 0.7500 0.7500 0.2500
! volume: 466.1 Å³ per cell
! excess energy over the best structure of this formula in the dataset: 573 meV/atom
! space group: F-43m, No. 216
! crystal system: cubic
! total energy: -3.289 eV/atom

Q: Which of these has the lowest volume?
A: ZnN

Q: Which of these has the lowest total energy?
A: BeCdOsW

Q: Among the records above, which one has the highest total energy?
A: CsIr2